Material: PrDyHo2
Method: DFT, PBE-GGA
State: relaxed

## Properties
Calculated formation energy: 0.127 eV per atom
Crystal system: cubic
Energy relative to the lowest polymorph listed for this composition: 0.126 eV per atom

a = 8.060 Å, b = 8.060 Å, c = 8.060 Å
α = 90.00°, β = 90.00°, γ = 90.00°
Space group Fm-3m (No. 225)
One atom of each set of equivalent atoms:
Pr 0.000 0.000 0.000
Dy 0.000 0.000 0.500
Ho 0.250 0.250 0.250

Material: NdCdIn3
Method: DFT, PBE-GGA
State: relaxed

## Properties
Calculated formation energy: -0.095 eV per atom
Crystal system: hexagonal
Energy relative to the lowest polymorph listed for this composition: 0.117 eV per atom

a = 7.1900 Å, b = 7.1900 Å, c = 6.1984 Å
α = 90.00°, β = 90.00°, γ = 120.00°
Space group P6_3/mmc (No. 194)
One atom of each set of equivalent atoms:
Nd 0.3333 0.6667 0.2500
Cd 0.0000 0.0000 0.0000
In 0.1976 0.3953 0.7500

Material: Re2Br4Cl5
Method: DFT, PBE-GGA
State: relaxed

## Properties
Crystal system: monoclinic
Energy relative to the elements, uncorrected: -2.9 eV per formula unit

a = 6.933 Å, b = 3.579 Å, c = 14.339 Å
α = 90.00°, β = 100.79°, γ = 90.00°
Space group P2/m (No. 10)
One atom of each set of equivalent atoms:
Re 0.043 0.000 0.229
Br 0.146 0.500 0.882
Br 0.229 0.500 0.336
Cl 0.199 0.000 0.685
Cl 0.283 0.000 0.137
Cl 0.500 0.000 0.500

Material: NdGd2Ge
Method: DFT, PBE-GGA
State: relaxed

## Properties
Calculated formation energy: -0.337 eV per atom
Crystal system: tetragonal
Energy relative to the lowest polymorph listed for this composition: 0.020 eV per atom

a = 3.855 Å, b = 3.855 Å, c = 7.576 Å
α = 90.00°, β = 90.00°, γ = 90.00°
Space group P4/mmm (No. 123)
One atom of each set of equivalent atoms:
Nd 0.000 0.000 0.000
Gd 0.500 0.500 0.303
Ge 0.000 0.000 0.500

Material: Ti2As2O
Method: DFT, PBE-GGA
State: relaxed

## Properties
Crystal system: tetragonal
Energy relative to the elements, uncorrected: -1.8 eV per formula unit
Energy relative to the lowest polymorph listed for this composition: 0.000 eV per atom

a = 4.917 Å, b = 4.917 Å, c = 7.067 Å
α = 90.00°, β = 90.00°, γ = 90.00°
Space group I4/mmm (No. 139)
One atom of each set of equivalent atoms:
Ti 0.000 0.500 0.250
As 0.000 0.000 0.181
O 0.000 0.000 0.500

Material: Rb3SrGa
Method: DFT, PBE-GGA
State: relaxed

## Properties
Calculated formation energy: 0.729 eV per atom
Crystal system: cubic
Energy relative to the lowest polymorph listed for this composition: 0.453 eV per atom

a = 8.102 Å, b = 8.102 Å, c = 8.102 Å
α = 90.00°, β = 90.00°, γ = 90.00°
Space group Pm-3m (No. 221)
One atom of each set of equivalent atoms:
Rb 0.000 0.000 0.500
Sr 0.000 0.000 0.000
Ga 0.500 0.500 0.500

Material: PrSnN
Method: DFT, PBE-GGA
State: relaxed

## Properties
Crystal system: tetragonal
Energy relative to the elements, uncorrected: -1.8 eV per formula unit
Energy relative to the lowest polymorph listed for this composition: 0.107 eV per atom

a = 4.249 Å, b = 4.249 Å, c = 8.438 Å
α = 90.00°, β = 90.00°, γ = 90.00°
Space group P4/nmm (No. 129, origin choice 2)
One atom of each set of equivalent atoms:
Pr 0.250 0.250 0.124
Sn 0.250 0.250 0.559
N 0.250 0.750 0.000

Material: PmSc5Hg3
Method: DFT, PBE-GGA
State: relaxed

## Properties
Calculated formation energy: -0.288 eV per atom
Crystal system: hexagonal

a = 8.6873 Å, b = 8.6873 Å, c = 6.4837 Å
α = 90.00°, β = 90.00°, γ = 120.00°
Space group P6_3/mcm (No. 193)
One atom of each set of equivalent atoms:
Pm 0.0000 0.0000 0.0000
Sc 0.0000 0.3372 0.2500
Sc 0.3333 0.6667 0.0000
Hg 0.0000 0.3399 0.7500

Number 1: uncorrected energy -4.507 eV/atom. Number 2: uncorrected energy -2.875 eV/atom. Number 3: uncorrected energy -3.973 eV/atom. Number 4: uncorrected energy -9.723 eV/atom. Number 5: uncorrected energy -6.370 eV/atom. Number 6: uncorrected energy -0.794 eV/atom. Number 7: uncorrected energy -6.292 eV/atom. Number 8: uncorrected energy -4.434 eV/atom.